Version i
A plane-wave DFT calculation with PBE-GGA was carried out for a relaxed structure of SiTe2IBr.

Cell lengths 5.3688, 5.3688, 5.4152 Å; angles 90.00, 90.00, 90.00 degrees
Sites, in units of the cell vectors:
Br 0.5000 0.5000 0.5000
Si 0.0000 0.0000 0.0000
I 0.0000 0.0000 0.5000
Te 0.5000 0.0000 0.0000
Te 0.0000 0.5000 0.0000

Version ii
A plane-wave DFT calculation with PBE-GGA was carried out for a relaxed structure of SiTe2IBr.

Cell lengths 5.6721, 5.6721, 5.6742 Å; angles 90.00, 90.00, 90.00 degrees
Sites, in units of the cell vectors:
Te 0.5000 0.0000 0.0000
Br 0.0000 0.0000 0.0000
Si 0.5000 0.5000 0.5000
I 0.0000 0.0000 0.5000
Te 0.0000 0.5000 0.0000

Which of them is most stable, and which least? Most stable: version i; least stable: version ii.

Version i
A plane-wave DFT calculation with PBE-GGA was carried out for a relaxed structure of SmIBr2.

Cell lengths 7.5525, 7.5525, 8.2221 Å; angles 108.80, 108.80, 112.20 degrees
Sites, in units of the cell vectors:
Sm 0.4383 0.1185 0.9176
Sm 0.1185 0.4383 0.4176
I 0.5652 0.8846 0.6318
I 0.8846 0.5652 0.1318
Br 0.6799 0.0489 0.2137
Br 0.0489 0.6799 0.7137
Br 0.2588 0.2536 0.6507
Br 0.2536 0.2588 0.1507

Version ii
A plane-wave DFT calculation with PBE-GGA was carried out for a relaxed structure of SmIBr2.

Cell lengths 3.9262, 7.4635, 7.4647 Å; angles 62.77, 74.76, 74.79 degrees
Sites, in units of the cell vectors:
I 0.2502 0.1739 0.3261
Sm 0.7502 0.8647 0.6353
Br 0.0971 0.8836 0.9222
Br 0.4026 0.5777 0.6164

Which of them is most stable, and which least? Most stable: version i; least stable: version ii.